# 1
Here is Er6Pb2O after structural relaxation from Alexandria via LeMat-Bulk. Energies are from GGA-PBE.

Unit cell a=6.812 b=6.812 c=9.669 alpha=90.00 beta=90.00 gamma=90.00
Space group I4/mmm (No. 139)
Unique sites:
Er (0.000, 0.000, 0.248)
Er (0.249, 0.249, 0.000)
Pb (0.000, 0.500, 0.250)
O (0.000, 0.000, 0.000)

Uncorrected energy: -94.34 eV/cell
Calculated density: 10.61 g/cm³
E_form (uncorrected): -0.824 eV per atom
Total magnetization: 0.00 Bohr magnetons per cell


# 2
Here is Er4Pb3O2 after structural relaxation from Alexandria via LeMat-Bulk. Energies are from GGA-PBE.

Unit cell a=14.050 b=3.699 c=9.107 alpha=90.00 beta=114.74 gamma=90.00
Space group C2/m (No. 12)
Unique sites:
Er (0.132, 0.000, 0.427)
Er (0.207, 0.500, 0.143)
Pb (0.000, 0.000, 0.000)
Pb (0.086, 0.500, 0.725)
O (0.201, 0.500, 0.378)

Uncorrected energy: -107.09 eV/cell
Calculated density: 10.22 g/cm³
E_form (uncorrected): -1.584 eV per atom
Total magnetization: 0.00 Bohr magnetons per cell


# 3
Here is Er2PdPbO5 after structural relaxation from Alexandria via LeMat-Bulk. Energies are from GGA-PBE.

Unit cell a=6.473 b=6.473 c=5.855 alpha=90.00 beta=90.00 gamma=90.00
Space group P4/mbm (No. 127)
Unique sites:
Er (0.173, 0.327, 0.000)
Pd (0.000, 0.500, 0.500)
Pb (0.000, 0.000, 0.500)
O (0.000, 0.000, 0.000)
O (0.141, 0.641, 0.237)

Uncorrected energy: -126.19 eV/cell
Calculated density: 9.86 g/cm³
E_form (uncorrected): -2.253 eV per atom
Total magnetization: 0.00 Bohr magnetons per cell


# 4
Here is PmErPbO2 after structural relaxation from Alexandria via LeMat-Bulk. Energies are from GGA-PBE.

Unit cell a=3.883 b=3.883 c=14.312 alpha=90.00 beta=90.00 gamma=90.00
Space group I4mm (No. 107)
Unique sites:
Pm (0.000, 0.000, 0.000)
Er (0.000, 0.000, 0.340)
Pb (0.000, 0.000, 0.671)
O (0.000, 0.500, 0.414)

Uncorrected energy: -71.06 eV/cell
Calculated density: 8.49 g/cm³
E_form (uncorrected): -2.518 eV per atom
Total magnetization: 0.00 Bohr magnetons per cell


# 5
Here is Pm2ErPb2O2 after structural relaxation from Alexandria via LeMat-Bulk. Energies are from GGA-PBE.

Unit cell a=4.385 b=4.385 c=16.372 alpha=90.00 beta=90.00 gamma=90.00
Space group I4/mmm (No. 139)
Unique sites:
Pm (0.000, 0.000, 0.104)
Er (0.000, 0.000, 0.500)
Pb (0.000, 0.000, 0.297)
O (0.000, 0.500, 0.000)

Uncorrected energy: -86.10 eV/cell
Calculated density: 9.53 g/cm³
E_form (uncorrected): -1.664 eV per atom
Total magnetization: 0.00 Bohr magnetons per cell


# 6
Here is PrErPbO2 after structural relaxation from Alexandria via LeMat-Bulk. Energies are from GGA-PBE.

Unit cell a=3.912 b=3.912 c=14.414 alpha=90.00 beta=90.00 gamma=90.00
Space group I4mm (No. 107)
Unique sites:
Pr (0.000, 0.000, 0.000)
Er (0.000, 0.000, 0.339)
Pb (0.000, 0.000, 0.671)
O (0.000, 0.500, 0.410)

Uncorrected energy: -70.71 eV/cell
Calculated density: 8.24 g/cm³
E_form (uncorrected): -2.478 eV per atom
Total magnetization: 0.00 Bohr magnetons per cell


# 7
Here is Pr4Er2Pb3O2 after structural relaxation from Alexandria via LeMat-Bulk. Energies are from GGA-PBE.

Unit cell a=4.864 b=4.864 c=25.760 alpha=90.00 beta=90.00 gamma=90.00
Space group I4/mmm (No. 139)
Unique sites:
Pr (0.000, 0.500, 0.085)
Er (0.000, 0.000, 0.194)
Pb (0.000, 0.000, 0.317)
Pb (0.000, 0.000, 0.500)
O (0.000, 0.000, 0.109)

Uncorrected energy: -127.59 eV/cell
Calculated density: 8.45 g/cm³
E_form (uncorrected): -1.319 eV per atom
Total magnetization: 0.00 Bohr magnetons per cell


# 8
Here is ErPtPbO6 after structural relaxation from Alexandria via LeMat-Bulk. Energies are from GGA-PBE.

Unit cell a=5.5137 b=5.5137 c=9.1962 alpha=90.00 beta=90.00 gamma=120.00
Space group P-31c (No. 163)
Unique sites:
Er (0.3333, 0.6667, 0.2500)
Pt (0.3333, 0.6667, 0.7500)
Pb (0.0000, 0.0000, 0.0000)
O (0.0294, 0.3660, 0.6277)

Uncorrected energy: -112.42 eV/cell
Calculated density: 9.13 g/cm³
E_form (uncorrected): -1.350 eV per atom
Total magnetization: 0.00 Bohr magnetons per cell